# SrTcAs2 (PBE, relaxed)
# Energy of formation ... 247 meV per atom
# Total energy ... -40.72 eV for the cell shown
# Total magnetization ... 5.0 μB/cell
# ΔE to the lowest computed polymorph ... 0.690 eV per atom
data_SrTcAs2
_chemical_formula_sum 'Sr2 Tc2 As4'
_space_group_name_H-M_alt 'I -4 m 2'
_space_group_IT_number 119
_space_group_name_Hall 'I -4 -2'
_cell_length_a 4.154
_cell_length_b 4.154
_cell_length_c 9.956
_cell_angle_alpha 90.00
_cell_angle_beta 90.00
_cell_angle_gamma 90.00
loop_
_atom_site_label
_atom_site_type_symbol
_atom_site_fract_x
_atom_site_fract_y
_atom_site_fract_z
Sr1 Sr 0.000 0.000 0.000
Tc1 Tc 0.000 0.500 0.750
As1 As 0.000 0.000 0.500
As2 As 0.000 0.500 0.250



# Sc2BeSb (PBE, relaxed)
# Total energy ... -41.35 eV for the cell shown
# Total magnetization ... 0.0 μB/cell
# Formation energy without anion corrections ... -3.91 kJ/mol of atoms
# ΔE to the lowest computed polymorph ... 0.433 eV per atom
data_Sc2BeSb
_chemical_formula_sum 'Sc4 Be2 Sb2'
_space_group_name_H-M_alt 'C m m 2'
_space_group_IT_number 35
_cell_length_a 4.201
_cell_length_b 5.260
_cell_length_c 7.483
_cell_angle_alpha 90.00
_cell_angle_beta 90.00
_cell_angle_gamma 90.00
loop_
_space_group_symop_operation_xyz
'x,y,z'
'-x,-y,z'
'-x,y,z'
'x,-y,z'
'x+1/2,y+1/2,z'
'-x+1/2,-y+1/2,z'
'-x+1/2,y+1/2,z'
'x+1/2,-y+1/2,z'
loop_
_atom_site_label
_atom_site_type_symbol
_atom_site_fract_x
_atom_site_fract_y
_atom_site_fract_z
Sc1 Sc 0.000 0.000 0.000
Sc2 Sc 0.000 0.500 0.313
Be1 Be 0.000 0.000 0.536
Sb1 Sb 0.000 0.500 0.722



# HfCrGa3 (PBE, relaxed)
# Energy of formation ... 905 meV per atom
# Total energy ... -24.13 eV for the cell shown
# Total magnetization ... 3.9 μB/cell
# ΔE to the lowest computed polymorph ... 0.941 eV per atom
data_HfCrGa3
_chemical_formula_sum 'Hf1 Cr1 Ga3'
_space_group_name_H-M_alt 'P m -3 m'
_space_group_IT_number 221
_space_group_name_Hall '-P 4 2 3'
_cell_length_a 5.130
_cell_length_b 5.130
_cell_length_c 5.130
_cell_angle_alpha 90.00
_cell_angle_beta 90.00
_cell_angle_gamma 90.00
loop_
_atom_site_label
_atom_site_type_symbol
_atom_site_fract_x
_atom_site_fract_y
_atom_site_fract_z
Hf1 Hf 0.000 0.000 0.000
Cr1 Cr 0.500 0.500 0.500
Ga1 Ga 0.000 0.000 0.500



# K2AgF (PBE, relaxed)
# Total energy ... -43.79 eV for the cell shown
# Total magnetization ... 0.0 μB/cell
# Formation energy without anion corrections ... -97.18 kJ/mol of atoms
# ΔE to the lowest computed polymorph ... 0.233 eV per atom
data_K2AgF
_chemical_formula_sum 'K8 Ag4 F4'
_space_group_name_H-M_alt 'F m -3 m'
_space_group_IT_number 225
_space_group_name_Hall '-F 4 2 3'
_cell_length_a 7.731
_cell_length_b 7.731
_cell_length_c 7.731
_cell_angle_alpha 90.00
_cell_angle_beta 90.00
_cell_angle_gamma 90.00
loop_
_atom_site_label
_atom_site_type_symbol
_atom_site_fract_x
_atom_site_fract_y
_atom_site_fract_z
K1 K 0.250 0.250 0.250
Ag1 Ag 0.000 0.000 0.000
F1 F 0.000 0.000 0.500



# AuICl2 (PBE, relaxed)
# Total energy ... -32.60 eV for the cell shown
# Total magnetization ... 0.0 μB/cell
# Formation energy without anion corrections ... 8.97 kJ/mol of atoms
# ΔE to the lowest computed polymorph ... 0.301 eV per atom
data_AuICl2
_chemical_formula_sum 'Au4 I4 Cl8'
_space_group_name_H-M_alt 'I -4 2 d'
_space_group_IT_number 122
_space_group_name_Hall 'I -4 2bw'
_cell_length_a 9.859
_cell_length_b 9.859
_cell_length_c 5.717
_cell_angle_alpha 90.00
_cell_angle_beta 90.00
_cell_angle_gamma 90.00
loop_
_atom_site_label
_atom_site_type_symbol
_atom_site_fract_x
_atom_site_fract_y
_atom_site_fract_z
Au1 Au 0.000 0.000 0.000
I1 I 0.000 0.000 0.500
Cl1 Cl 0.003 0.250 0.125



# NdAl8Pd2 (PBE, relaxed)
# Energy of formation ... -28 meV per atom
# Total energy ... -45.40 eV for the cell shown
# Total magnetization ... 0.0 μB/cell
data_NdAl8Pd2
_chemical_formula_sum 'Nd1 Al8 Pd2'
_space_group_name_H-M_alt 'P 4/m m m'
_space_group_IT_number 123
_space_group_name_Hall '-P 4 2'
_cell_length_a 5.688
_cell_length_b 5.688
_cell_length_c 8.185
_cell_angle_alpha 90.00
_cell_angle_beta 90.00
_cell_angle_gamma 90.00
loop_
_atom_site_label
_atom_site_type_symbol
_atom_site_fract_x
_atom_site_fract_y
_atom_site_fract_z
Nd1 Nd 0.000 0.000 0.000
Al1 Al 0.251 0.251 0.307
Pd1 Pd 0.000 0.500 0.500



# BaTaHg2 (PBE, relaxed)
# Energy of formation ... 462 meV per atom
# Total energy ... -12.53 eV for the cell shown
# Total magnetization ... 0.6 μB/cell
data_BaTaHg2
_chemical_formula_sum 'Ba1 Ta1 Hg2'
_space_group_name_H-M_alt 'P m m 2'
_space_group_IT_number 25
_cell_length_a 3.416
_cell_length_b 4.380
_cell_length_c 7.533
_cell_angle_alpha 90.00
_cell_angle_beta 90.00
_cell_angle_gamma 90.00
loop_
_space_group_symop_operation_xyz
'x,y,z'
'-x,-y,z'
'-x,y,z'
'x,-y,z'
loop_
_atom_site_label
_atom_site_type_symbol
_atom_site_fract_x
_atom_site_fract_y
_atom_site_fract_z
Ba1 Ba 0.000 0.000 0.000
Ta1 Ta 0.500 0.500 0.657
Hg1 Hg 0.000 0.000 0.545
Hg2 Hg 0.500 0.500 0.282



# InTcCl2 (PBE, relaxed)
# Total energy ... -33.39 eV for the cell shown
# Total magnetization ... 4.0 μB/cell
# Formation energy without anion corrections ... 2.42 kJ/mol of atoms
# ΔE to the lowest computed polymorph ... 0.307 eV per atom
data_InTcCl2
_chemical_formula_sum 'In2 Tc2 Cl4'
_space_group_name_H-M_alt 'I m m 2'
_space_group_IT_number 44
_cell_length_a 3.221
_cell_length_b 7.252
_cell_length_c 9.502
_cell_angle_alpha 90.00
_cell_angle_beta 90.00
_cell_angle_gamma 90.00
loop_
_space_group_symop_operation_xyz
'x,y,z'
'-x,-y,z'
'-x,y,z'
'x,-y,z'
'x+1/2,y+1/2,z+1/2'
'-x+1/2,-y+1/2,z+1/2'
'-x+1/2,y+1/2,z+1/2'
'x+1/2,-y+1/2,z+1/2'
loop_
_atom_site_label
_atom_site_type_symbol
_atom_site_fract_x
_atom_site_fract_y
_atom_site_fract_z
In1 In 0.000 0.000 0.000
Tc1 Tc 0.000 0.500 0.734
Cl1 Cl 0.000 0.000 0.412
Cl2 Cl 0.000 0.500 0.281



# NbIn2H (PBE, relaxed)
# Total energy ... -68.46 eV for the cell shown
# Total magnetization ... 0.0 μB/cell
# ΔE to the lowest computed polymorph ... 0.000 eV per atom
data_NbIn2H
_chemical_formula_sum 'Nb4 In8 H4'
_space_group_name_H-M_alt 'I -4 2 d'
_space_group_IT_number 122
_space_group_name_Hall 'I -4 2bw'
_cell_length_a 6.903
_cell_length_b 6.903
_cell_length_c 5.760
_cell_angle_alpha 90.00
_cell_angle_beta 90.00
_cell_angle_gamma 90.00
loop_
_atom_site_label
_atom_site_type_symbol
_atom_site_fract_x
_atom_site_fract_y
_atom_site_fract_z
Nb1 Nb 0.000 0.000 0.000
In1 In 0.171 0.750 0.625
H1 H 0.000 0.000 0.500



# SrPu2As2 (PBE, relaxed)
# Energy of formation ... -746 meV per atom
# Total energy ... -86.75 eV for the cell shown
# Total magnetization ... 23.8 μB/cell
data_SrPu2As2
_chemical_formula_sum 'Sr2 Pu4 As4'
_space_group_name_H-M_alt 'I 4/m m m'
_space_group_IT_number 139
_space_group_name_Hall '-I 4 2'
_cell_length_a 4.343
_cell_length_b 4.343
_cell_length_c 14.415
_cell_angle_alpha 90.00
_cell_angle_beta 90.00
_cell_angle_gamma 90.00
loop_
_atom_site_label
_atom_site_type_symbol
_atom_site_fract_x
_atom_site_fract_y
_atom_site_fract_z
Sr1 Sr 0.000 0.000 0.000
Pu1 Pu 0.000 0.500 0.250
As1 As 0.000 0.000 0.390



# Tm2PaTe (PBE, relaxed)
# Total energy ... -23.10 eV for the cell shown
# Total magnetization ... 0.0 μB/cell
# Formation energy without anion corrections ... -36.64 kJ/mol of atoms
# ΔE to the lowest computed polymorph ... 0.000 eV per atom
data_Tm2PaTe
_chemical_formula_sum 'Tm2 Pa1 Te1'
_space_group_name_H-M_alt 'P 4/m m m'
_space_group_IT_number 123
_space_group_name_Hall '-P 4 2'
_cell_length_a 3.704
_cell_length_b 3.704
_cell_length_c 7.979
_cell_angle_alpha 90.00
_cell_angle_beta 90.00
_cell_angle_gamma 90.00
loop_
_atom_site_label
_atom_site_type_symbol
_atom_site_fract_x
_atom_site_fract_y
_atom_site_fract_z
Tm1 Tm 0.000 0.000 0.231
Pa1 Pa 0.500 0.500 0.500
Te1 Te 0.500 0.500 0.000



# Tm5Hg2Pt2 (PBE, relaxed)
# Energy of formation ... -826 meV per atom
# Total energy ... -169.92 eV for the cell shown
# Total magnetization ... 0.0 μB/cell
data_Tm5Hg2Pt2
_chemical_formula_sum 'Tm20 Hg8 Pt8'
_space_group_name_H-M_alt 'C m c e'
_space_group_IT_number 64
_space_group_name_Hall '-C 2ac 2'
_cell_length_a 15.557
_cell_length_b 7.664
_cell_length_c 7.474
_cell_angle_alpha 90.00
_cell_angle_beta 90.00
_cell_angle_gamma 90.00
loop_
_atom_site_label
_atom_site_type_symbol
_atom_site_fract_x
_atom_site_fract_y
_atom_site_fract_z
Tm1 Tm 0.000 0.000 0.000
Tm2 Tm 0.124 0.173 0.334
Hg1 Hg 0.213 0.000 0.000
Pt1 Pt 0.000 0.133 0.635